No. 1
Computed, not measured: an optimized crystal structure of Cs2BeSnW at the PBE-GGA level of DFT.

Unit cell a=6.2898 b=5.3484 c=6.2898 alpha=90.00 beta=90.00 gamma=90.00
Sites, in units of the cell vectors:
Cs  0.5000  0.0000  0.0000
W  0.0000  0.0000  0.0000
Sn  0.0000  0.5000  0.0000
Cs  0.0000  0.0000  0.5000
Be  0.5000  0.5000  0.5000

Output
Energy of formation from the pure elements = 1.61 eV per atom
Space-group type = P4/mmm

No. 2
Computed, not measured: an optimized crystal structure of Sm5Zn2Sn at the PBE-GGA level of DFT.

Unit cell a=7.7816 b=7.7816 c=9.2634 alpha=114.84 beta=114.84 gamma=90.00
Sites, in units of the cell vectors:
Sm  0.0000  0.0000  0.0000
Sm  0.8114  0.9860  0.2974
Sm  0.4860  0.3114  0.2974
Sn  0.7500  0.7500  0.5000
Zn  0.8774  0.6226  0.0000
Sn  0.2500  0.2500  0.5000
Sm  0.5140  0.6886  0.7026
Sm  0.0140  0.5140  0.7026
Sm  0.6886  0.1886  0.7026
Sm  0.1886  0.0140  0.7026
Zn  0.6226  0.1226  0.0000
Sm  0.9860  0.4860  0.2974
Zn  0.1226  0.3774  0.0000
Sm  0.5000  0.5000  0.0000
Zn  0.3774  0.8774  0.0000
Sm  0.3114  0.8114  0.2974

Output
Energy of formation from the pure elements = -0.36 eV per atom
Space-group type = I4/mcm

No. 3
Computed, not measured: an optimized crystal structure of SrGa2GeSe6 at the PBE-GGA level of DFT.

Unit cell a=7.7797 b=9.3083 c=9.3083 alpha=80.73 beta=70.13 gamma=70.13
Sites, in units of the cell vectors:
Se  0.5511  0.1117  0.6196
Se  0.4489  0.8883  0.3804
Se  0.9214  0.2717  0.4391
Ge  0.7500  0.8201  0.1799
Se  0.6593  0.8308  0.9516
Ga  0.6556  0.2455  0.3683
Se  0.0786  0.7283  0.5609
Se  0.0511  0.6196  0.1117
Ga  0.3444  0.7545  0.6317
Se  0.3407  0.1692  0.0484
Se  0.1593  0.9516  0.8308
Sr  0.2500  0.8285  0.1715
Ge  0.2500  0.1799  0.8201
Ga  0.1556  0.3683  0.2455
Se  0.8407  0.0484  0.1692
Ga  0.8444  0.6317  0.7545
Se  0.9489  0.3804  0.8883
Se  0.5786  0.5609  0.7283
Se  0.4214  0.4391  0.2717
Sr  0.7500  0.1715  0.8285

Output
Formation energy from raw total energies = -677.4 meV/atom
Space-group type = C2/c

No. 4
Computed, not measured: an optimized crystal structure of Y3IrBr at the PBE-GGA level of DFT.

Unit cell a=5.4541 b=5.4541 c=5.4541 alpha=90.00 beta=90.00 gamma=90.00
Sites, in units of the cell vectors:
Y  0.5000  0.0000  0.0000
Ir  0.0000  0.0000  0.0000
Y  0.0000  0.0000  0.5000
Br  0.5000  0.5000  0.5000
Y  0.0000  0.5000  0.0000

Output
ΔE to the lowest computed polymorph = 0.00 eV/f.u.
Formation energy from raw total energies = -474.7 meV/atom
Space-group type = Pm-3m

No. 5
Computed, not measured: an optimized crystal structure of KSrUBr6 at the PBE-GGA level of DFT.

Unit cell a=7.7982 b=7.7982 c=14.2004 alpha=90.00 beta=90.00 gamma=120.00
Sites, in units of the cell vectors:
Br  0.3697  0.0146  0.1329
Sr  0.6667  0.3333  0.7500
Br  0.6303  0.9854  0.8671
Br  0.6450  0.6303  0.1329
Br  0.9854  0.6303  0.3671
U  0.3333  0.6667  0.7500
Br  0.3550  0.3697  0.8671
Br  0.6303  0.6450  0.6329
U  0.6667  0.3333  0.2500
Br  0.0146  0.6450  0.8671
K  0.0000  0.0000  0.5000
Br  0.0146  0.3697  0.6329
Br  0.3550  0.9854  0.6329
Br  0.9854  0.3550  0.1329
Br  0.3697  0.3550  0.3671
K  0.0000  0.0000  0.0000
Br  0.6450  0.0146  0.3671
Sr  0.3333  0.6667  0.2500

Output
Formation energy from raw total energies = -1673.9 meV/atom
Space-group type = P-31c

No. 6
Computed, not measured: an optimized crystal structure of Rb3U2AgO9 at the PBE-GGA level of DFT.

Unit cell a=6.1145 b=6.1145 c=7.5158 alpha=90.00 beta=90.00 gamma=120.00
Sites, in units of the cell vectors:
O  0.8246  0.1754  0.6817
Ag  0.0000  0.0000  0.5000
U  0.6667  0.3333  0.8310
Rb  0.0000  0.0000  0.0000
Rb  0.3333  0.6667  0.6563
O  0.3507  0.1754  0.6817
Rb  0.6667  0.3333  0.3437
U  0.3333  0.6667  0.1690
O  0.0000  0.5000  0.0000
O  0.1754  0.8246  0.3183
O  0.8246  0.6493  0.6817
O  0.6493  0.8246  0.3183
O  0.5000  0.0000  0.0000
O  0.5000  0.5000  0.0000
O  0.1754  0.3507  0.3183

Output
Formation energy from raw total energies = -2207.1 meV/atom
Space-group type = P-3m1

No. 7
Computed, not measured: an optimized crystal structure of MnBeTcPd at the PBE-GGA level of DFT.

Unit cell a=4.4243 b=2.7568 c=8.7411 alpha=90.00 beta=107.35 gamma=90.00
Sites, in units of the cell vectors:
Pd  0.5882  0.5000  0.4383
Be  0.7227  0.5000  0.1756
Be  0.7227  0.0000  0.6756
Pd  0.5882  0.0000  0.9383
Tc  0.2127  0.5000  0.6633
Mn  0.0593  0.0000  0.4057
Tc  0.2127  0.0000  0.1633
Mn  0.0593  0.5000  0.9057

Output
ΔE to the lowest computed polymorph = 0.68 eV/f.u.
Energy of formation from the pure elements = -0.01 eV per atom
Space-group type = Cm

No. 8
Computed, not measured: an optimized crystal structure of BaSi3N at the PBE-GGA level of DFT.

Unit cell a=5.8812 b=5.8812 c=5.8812 alpha=90.00 beta=90.00 gamma=90.00
Sites, in units of the cell vectors:
N  0.5000  0.5000  0.5000
Si  0.0000  0.0000  0.5000
Si  0.0000  0.5000  0.0000
Ba  0.0000  0.0000  0.0000
Si  0.5000  0.0000  0.0000

Output
ΔE to the lowest computed polymorph = 10.25 eV/f.u.
Formation energy from raw total energies = 2732.2 meV/atom
Space-group type = Pm-3m

No. 9
Computed, not measured: an optimized crystal structure of TaSe2I at the PBE-GGA level of DFT.

Unit cell a=4.8969 b=4.8969 c=4.8969 alpha=60.00 beta=60.00 gamma=60.00
Sites, in units of the cell vectors:
Se  0.2500  0.2500  0.2500
Se  0.7500  0.7500  0.7500
Ta  0.5000  0.5000  0.5000
I  0.0000  0.0000  0.0000

Output
ΔE to the lowest computed polymorph = 4.14 eV/f.u.
Formation energy from raw total energies = 504.1 meV/atom
Space-group type = Fm-3m

No. 10
Computed, not measured: an optimized crystal structure of CaZnBr2 at the PBE-GGA level of DFT.

Unit cell a=4.1982 b=5.9209 c=5.9267 alpha=59.87 beta=90.00 gamma=90.00
Sites, in units of the cell vectors:
Zn  0.5000  0.7344  0.7366
Ca  0.0000  0.4971  0.4959
Br  0.5000  0.3115  0.3112
Br  0.0000  0.9569  0.9563

Output
ΔE to the lowest computed polymorph = 0.57 eV/f.u.
Formation energy from raw total energies = -1132.7 meV/atom
Space-group type = Pm

No. 11
Computed, not measured: an optimized crystal structure of Ni2SeBr at the PBE-GGA level of DFT.

Unit cell a=4.4516 b=4.4516 c=4.4516 alpha=60.00 beta=60.00 gamma=60.00
Sites, in units of the cell vectors:
Ni  0.2500  0.2500  0.2500
Br  0.5000  0.5000  0.5000
Ni  0.7500  0.7500  0.7500
Se  0.0000  0.0000  0.0000

Output
ΔE to the lowest computed polymorph = 2.37 eV/f.u.
Formation energy from raw total energies = 451.7 meV/atom
Space-group type = Fm-3m

No. 12
Computed, not measured: an optimized crystal structure of NaTa2BeCo at the PBE-GGA level of DFT.

Unit cell a=4.5377 b=4.7978 c=4.5377 alpha=90.00 beta=90.00 gamma=90.00
Sites, in units of the cell vectors:
Co  0.0000  0.0000  0.0000
Na  0.0000  0.5000  0.0000
Ta  0.5000  0.0000  0.0000
Be  0.5000  0.5000  0.5000
Ta  0.0000  0.0000  0.5000

Output
Energy of formation from the pure elements = 1.31 eV per atom
Space-group type = P4/mmm

Number 1: calculated total energy -0.106 hartree per atom, spin magnetization 2.06 Bohr magnetons per cell. Number 2: calculated total energy -0.152 hartree per atom, spin magnetization 0.00 Bohr magnetons per cell. Number 3: calculated total energy -0.147 hartree per atom, spin magnetization 0.00 Bohr magnetons per cell. Number 4: calculated total energy -0.237 hartree per atom, spin magnetization 0.00 Bohr magnetons per cell. Number 5: calculated total energy -0.160 hartree per atom, spin magnetization 6.00 Bohr magnetons per cell. Number 6: calculated total energy -0.260 hartree per atom, spin magnetization 1.95 Bohr magnetons per cell. Number 7: calculated total energy -0.262 hartree per atom, spin magnetization 4.57 Bohr magnetons per cell. Number 8: calculated total energy -0.094 hartree per atom, spin magnetization 2.62 Bohr magnetons per cell. Number 9: calculated total energy -0.169 hartree per atom, spin magnetization 0.00 Bohr magnetons per cell. Number 10: calculated total energy -0.102 hartree per atom, spin magnetization 0.00 Bohr magnetons per cell. Number 11: calculated total energy -0.137 hartree per atom, spin magnetization 0.00 Bohr magnetons per cell. Number 12: calculated total energy -0.216 hartree per atom, spin magnetization 0.00 Bohr magnetons per cell.